HoTm5Sb6: relaxed, GGA-PBE.

Output
- Space group: No. 12
- Calculated total energy: -5.381 eV per atom
- Energy relative to the elements, uncorrected: -1075.3 meV/atom
- Density: 8.3 g cm⁻³
- DOS at the Fermi energy: 1.958 states/eV per cell

Cell: 7.5196 7.5224 7.5216 Å, 60.00 80.40 70.53°
Fractional positions:
Ho 0.0000 0.0000 0.0000
Tm 0.5000 0.1660 0.6679
Tm 0.0000 0.3330 0.3339
Tm 0.5000 0.5000 0.0000
Tm 0.0000 0.6670 0.6661
Tm 0.5000 0.8340 0.3321
Sb 0.7490 0.0837 0.3345
Sb 0.2510 0.5817 0.3345
Sb 0.2503 0.2513 0.0000
Sb 0.7497 0.7487 0.0000
Sb 0.7490 0.4183 0.6655
Sb 0.2510 0.9163 0.6655

=====

KTlCu2Cl4: relaxed, GGA-PBE.

Output
- Space group: No. 5
- Calculated total energy: -3.349 eV per atom
- Energy relative to the elements, uncorrected: -968.4 meV/atom
- Density: 3.7 g cm⁻³
- DOS at the Fermi energy: 0.000 states/eV per cell

Cell: 7.5876 6.6890 6.6890 Å, 68.79 55.38 55.38°
Fractional positions:
K 0.0000 0.9999 0.0001
Tl 0.5000 0.4997 0.5003
Cu 0.1808 0.3196 0.3193
Cu 0.8192 0.6807 0.6804
Cl 0.4050 0.0873 0.4900
Cl 0.9821 0.9128 0.5099
Cl 0.0179 0.4901 0.0872
Cl 0.5950 0.5100 0.9127